VASP calculation (PBE) on crystalline PmPu2N at its relaxed geometry.

DFT total energy: -10.40 eV per atom
formation energy (no corrections): 0.04 eV/atom
space group: No. 166
magnetization: 0.00 μB per formula unit
V: 21.74 Å³/atom

```
PmPu2N
1.0
1.980 1.143 6.402
-1.980 1.143 6.402
0.000 -2.287 6.402
Pm Pu N
1 2 1
Cartesian
0.000 0.000 0.000 Pm
0.000 0.000 3.628 Pu
0.000 0.000 15.578 Pu
0.000 0.000 9.603 N
```

VASP calculation (PBE) on crystalline Pm2PuN3 at its relaxed geometry.

DFT total energy: -9.51 eV per atom
formation energy (no corrections): -1.38 eV/atom
space group: No. 71
magnetization: 4.58 μB per formula unit
V: 15.96 Å³/atom

```
Pm2PuN3
1.0
-1.780 2.523 5.329
1.780 -2.523 5.329
1.780 2.523 -5.329
Pm Pu N
2 1 3
Cartesian
0.000 0.000 1.765 Pm
0.000 0.000 8.893 Pm
0.000 0.000 5.329 Pu
1.780 0.000 0.000 N
1.780 0.000 3.723 N
0.000 2.523 1.606 N
```

VASP calculation (PBE) on crystalline PmPu4N5 at its relaxed geometry.

DFT total energy: -11.60 eV per atom
formation energy (no corrections): -1.23 eV/atom
space group: No. 71
magnetization: 0.32 μB per formula unit
V: 15.17 Å³/atom

```
PmPu4N5
1.0
-1.751 2.479 8.734
1.751 -2.479 8.734
1.751 2.479 -8.734
Pm Pu N
1 4 5
Cartesian
0.000 0.000 0.000 Pm
0.000 0.000 3.518 Pu
0.000 0.000 6.996 Pu
0.000 0.000 10.472 Pu
0.000 0.000 13.950 Pu
1.751 0.000 1.875 N
1.751 0.000 5.230 N
0.000 2.479 0.000 N
0.000 2.479 3.504 N
0.000 2.479 6.859 N
```

VASP calculation (PBE) on crystalline Pm4PuN5 at its relaxed geometry.

DFT total energy: -8.89 eV per atom
formation energy (no corrections): -1.40 eV/atom
space group: No. 87
magnetization: 4.36 μB per formula unit
V: 16.20 Å³/atom

```
Pm4PuN5
1.0
-3.997 3.997 2.534
3.997 -3.997 2.534
3.997 3.997 -2.534
Pm Pu N
4 1 5
Cartesian
5.601 0.804 0.000 Pm
0.804 2.394 0.000 Pm
3.194 1.603 2.534 Pm
-1.603 3.194 2.534 Pm
0.000 0.000 2.534 Pu
0.000 0.000 0.000 N
3.249 1.733 0.000 N
2.264 -0.749 2.534 N
1.733 4.746 0.000 N
0.749 2.264 2.534 N
```

Look up the formation energy (no corrections) of the second one.
-1.38 eV/atom

The lowest DFT total energy belongs to which entry?
PmPu4N5

Which of these has the highest DFT total energy?
Pm4PuN5